[1]
This record from Alexandria via LeMat-Bulk describes ZnH3I after structural relaxation. The functional is GGA-PBE.

Geometry as POSCAR:
```
ZnH3I
1.0
-3.9332 -1.0199 -1.1722
1.4915 -3.3728 -2.0699
-0.4357 -2.3385 3.4966
I H Zn
1 3 1
direct
0.0000 0.0000 0.0000
0.0000 0.5000 0.0000
0.0000 0.0000 0.5000
0.5000 0.0000 0.0000
0.5000 0.5000 0.5000
```

Values from the calculation:
E_tot (eV per atom): -1.689
SG: Pm-3m



[2]
This record from Alexandria via LeMat-Bulk describes ZnHI2 after structural relaxation. The functional is GGA-PBE.

Geometry as POSCAR:
```
ZnHI2
1.0
7.1158 0.0000 0.0000
0.0000 7.1158 0.0000
3.5579 3.5579 5.3941
I H Zn
4 2 2
direct
0.6733 0.1250 0.2500
0.0767 0.6250 0.2500
0.3750 0.3267 0.7500
0.8750 0.9233 0.7500
0.5000 0.5000 0.0000
0.2500 0.7500 0.5000
0.0000 0.0000 0.0000
0.7500 0.2500 0.5000
```

Values from the calculation:
E_tot (eV per atom): -1.799
SG: I-42d



[3]
This record from Alexandria via LeMat-Bulk describes ZnH3I after structural relaxation. The functional is GGA-PBE.

Geometry as POSCAR:
```
ZnH3I
1.0
-3.0834 2.3850 0.1046
-2.3858 -3.0724 -0.2724
-0.0842 -0.2794 3.8886
I H Zn
1 3 1
direct
0.5000 0.5000 0.5000
0.0000 0.5000 0.0000
0.0000 0.0000 0.5000
0.5000 0.0000 0.0000
0.0000 0.0000 0.0000
```

Values from the calculation:
E_tot (eV per atom): -1.798
SG: Pm-3m



[4]
This record from Alexandria via LeMat-Bulk describes Zn3HI after structural relaxation. The functional is GGA-PBE.

Geometry as POSCAR:
```
Zn3HI
1.0
-0.2360 -1.1195 4.4159
2.1326 -3.9345 -0.8835
4.0256 2.0188 0.7270
I H Zn
1 1 3
direct
0.5000 0.5000 0.5000
0.0000 0.0000 0.0000
0.0000 0.5000 0.0000
0.0000 0.0000 0.5000
0.5000 0.0000 0.0000
```

Values from the calculation:
E_tot (eV per atom): -1.298
SG: Pm-3m



[5]
This record from Alexandria via LeMat-Bulk describes Zr2ZnHI after structural relaxation. The functional is GGA-PBE.

Geometry as POSCAR:
```
Zr2ZnHI
1.0
5.3327 0.0000 0.0000
0.0000 3.4431 0.0000
0.0000 0.0000 5.3327
I H Zn Zr
1 1 1 2
direct
0.5000 0.5000 0.5000
0.0000 0.5000 0.0000
0.0000 0.0000 0.0000
0.0000 0.0000 0.5000
0.5000 0.0000 0.0000
```

Values from the calculation:
E_tot (eV per atom): -4.190
SG: P4/mmm



[6]
This record from Alexandria via LeMat-Bulk describes ZrH2I4 after structural relaxation. The functional is GGA-PBE.

Geometry as POSCAR:
```
ZrH2I4
1.0
-0.8998 3.9515 -1.4268
-10.6952 7.1124 7.4903
-3.4650 8.0157 5.3947
Zr H I
1 2 4
direct
0.0000 0.0000 0.0000
0.0062 0.2606 0.7310
0.9938 0.7394 0.2690
0.1567 0.7209 0.5134
0.8433 0.2791 0.4866
0.3800 0.8366 0.9001
0.6200 0.1634 0.0999
```

Values from the calculation:
E_tot (eV per atom): -3.344
SG: P-1



> Look up the E_tot of the fourth one.

-1.298 eV per atom